1.
Here is an optimized crystal structure of NiAg2Se from the Alexandria database. Energies are from PBE.

Structure (POSCAR):
```
NiAg2Se
1.0
2.8320 0.0000 0.0000
0.0000 2.8320 0.0000
0.0000 0.0000 8.6869
Ni Ag Se
1 2 1
direct
0.0000 0.0000 0.0000
0.5000 0.5000 0.2114
0.5000 0.5000 0.7886
0.0000 0.0000 0.5000
```

Values from the calculation:
**Electronic total energy**: -3.4660 eV per atom

=====

2.
Here is an optimized crystal structure of NiAg3Se from the Alexandria database. Energies are from PBE.

Structure (POSCAR):
```
NiAg3Se
1.0
4.9751 0.0000 0.0000
0.0000 4.9751 0.0000
0.0000 0.0000 4.9751
Ni Ag Se
1 3 1
direct
0.0000 0.0000 0.0000
0.0000 0.5000 0.5000
0.5000 0.0000 0.5000
0.5000 0.5000 0.0000
0.5000 0.5000 0.5000
```

Values from the calculation:
**Electronic total energy**: -2.6967 eV per atom
**Energy above the most stable polymorph in this dataset**: 0.122 eV per atom

=====

3.
Here is an optimized crystal structure of NiAg2Se from the Alexandria database. Energies are from PBE.

Structure (POSCAR):
```
NiAg2Se
1.0
3.1771 0.0000 0.0000
0.0000 3.1771 0.0000
0.0000 0.0000 6.8011
Ni Ag Se
1 2 1
direct
0.0000 0.0000 0.0000
0.0000 0.0000 0.4567
0.5000 0.5000 0.7230
0.5000 0.5000 0.1315
```

Values from the calculation:
**Electronic total energy**: -3.6903 eV per atom

=====

4.
Here is an optimized crystal structure of Ni2AgSe from the Alexandria database. Energies are from PBE.

Structure (POSCAR):
```
Ni2AgSe
1.0
-1.5690 2.0792 4.5071
1.5690 -2.0792 4.5071
1.5690 2.0792 -4.5071
Ni Ag Se
2 1 1
direct
0.0000 0.0000 0.0000
0.7450 0.2450 0.5000
0.4584 0.4584 0.0000
0.1918 0.6918 0.5000
```

Values from the calculation:
**Electronic total energy**: -4.2835 eV per atom
**Energy above the most stable polymorph in this dataset**: 0.080 eV per atom

=====

5.
Here is an optimized crystal structure of Ni2AgSe from the Alexandria database. Energies are from PBE.

Structure (POSCAR):
```
Ni2AgSe
1.0
3.0249 0.0000 0.0000
0.0000 3.0249 0.0000
0.0000 0.0000 6.2649
Ni Ag Se
2 1 1
direct
0.0000 0.0000 0.2137
0.0000 0.0000 0.7863
0.5000 0.5000 0.5000
0.5000 0.5000 0.0000
```

Values from the calculation:
**Electronic total energy**: -4.3393 eV per atom
**Energy above the most stable polymorph in this dataset**: 0.024 eV per atom

=====

6.
Here is an optimized crystal structure of NiAg2Se from the Alexandria database. Energies are from PBE.

Structure (POSCAR):
```
NiAg2Se
1.0
-2.0587 2.0587 3.9585
2.0587 -2.0587 3.9585
2.0587 2.0587 -3.9585
Ni Ag Se
1 2 1
direct
0.0000 0.0000 0.0000
0.5000 0.5000 0.0000
0.7500 0.2500 0.5000
0.2500 0.7500 0.5000
```

Values from the calculation:
**Electronic total energy**: -3.4947 eV per atom

=====

7.
Here is an optimized crystal structure of NiAg3Se from the Alexandria database. Energies are from PBE.

Structure (POSCAR):
```
NiAg3Se
1.0
4.7830 0.0000 0.0000
0.0000 4.7830 0.0000
0.0000 0.0000 4.7830
Ni Ag Se
1 3 1
direct
0.0000 0.0000 0.0000
0.0000 0.0000 0.5000
0.0000 0.5000 0.0000
0.5000 0.0000 0.0000
0.5000 0.5000 0.5000
```

Values from the calculation:
**Electronic total energy**: -2.8192 eV per atom
**Energy above the most stable polymorph in this dataset**: 0.000 eV per atom

=====

8.
Here is an optimized crystal structure of NiAg2Se from the Alexandria database. Energies are from PBE.

Structure (POSCAR):
```
NiAg2Se
1.0
5.5474 -1.5078 0.0000
5.5474 1.5078 0.0000
-1.0905 0.0000 4.4266
Ni Ag Se
1 2 1
direct
0.0000 0.0000 0.0000
0.2869 0.2869 0.8720
0.4474 0.4474 0.4861
0.6492 0.6492 0.2156
```

Values from the calculation:
**Electronic total energy**: -3.6624 eV per atom

=====

9.
Here is an optimized crystal structure of NiAgSe3 from the Alexandria database. Energies are from PBE.

Structure (POSCAR):
```
NiAgSe3
1.0
5.0492 0.0000 0.0000
0.0000 5.0492 0.0000
0.0000 0.0000 5.0492
Ni Ag Se
1 1 3
direct
0.0000 0.0000 0.0000
0.5000 0.5000 0.5000
0.0000 0.5000 0.5000
0.5000 0.0000 0.5000
0.5000 0.5000 0.0000
```

Values from the calculation:
**Electronic total energy**: -2.7527 eV per atom
**Energy above the most stable polymorph in this dataset**: 1.208 eV per atom

=====

10.
Here is an optimized crystal structure of NiAg2Se from the Alexandria database. Energies are from PBE.

Structure (POSCAR):
```
NiAg2Se
1.0
4.8668 -1.5376 0.0000
4.8668 1.5376 0.0000
-0.9831 0.0000 4.5011
Ni Ag Se
1 2 1
direct
0.0000 0.0000 0.0000
0.2619 0.2619 0.7608
0.7381 0.7381 0.2392
0.5000 0.5000 0.5000
```

Values from the calculation:
**Electronic total energy**: -3.5126 eV per atom

=====

11.
Here is an optimized crystal structure of NiAg2Se from the Alexandria database. Energies are from PBE.

Structure (POSCAR):
```
NiAg2Se
1.0
3.0901 0.0000 0.0000
0.0000 4.8988 0.0000
-0.0781 0.0000 4.5324
Ni Ag Se
1 2 1
direct
0.0000 0.0000 0.0000
0.2519 0.5000 0.7560
0.7481 0.5000 0.2440
0.5000 0.0000 0.5000
```

Values from the calculation:
**Electronic total energy**: -3.4871 eV per atom

=====

12.
Here is an optimized crystal structure of NiAg2Se from the Alexandria database. Energies are from PBE.

Structure (POSCAR):
```
NiAg2Se
1.0
-1.9415 1.9415 4.4620
1.9415 -1.9415 4.4620
1.9415 1.9415 -4.4620
Ni Ag Se
1 2 1
direct
0.0000 0.0000 0.0000
0.2500 0.7500 0.5000
0.7500 0.2500 0.5000
0.5000 0.5000 0.0000
```

Values from the calculation:
**Electronic total energy**: -3.5138 eV per atom

=====

Values of DOS at the Fermi energy, in order: 1.30; 1.98; 0.33; 0.78; 0.95; 0.68; 1.21; 0.63; 1.47; 0.39; 0.38; 0.50, all in states/eV/atom.
Values of formation energy from raw total energies, in order: 0.2760; 0.8672; 0.0518; 0.1912; 0.1353; 0.2474; 0.7448; 0.0797; 1.0645; 0.2295; 0.2550; 0.2283, all in eV per atom.